[1]
A plane-wave DFT calculation with PBE-GGA was carried out for crystalline Fe2HIrRh at its relaxed geometry.

The calculation puts the total magnetic moment at 0.0 μB/f.u.

It has space group P4/mmm (No. 123), with a = 3.7404 Å, b = 3.7404 Å, c = 3.7188 Å, α = 90.00°, β = 90.00° and γ = 90.00°. The asymmetric unit holds Fe at (0.0000, 0.5000, 0.0000), H at (0.0000, 0.0000, 0.0000), Ir at (0.0000, 0.0000, 0.5000) and Rh at (0.5000, 0.5000, 0.5000).


[2]
A plane-wave DFT calculation with PBE-GGA was carried out for crystalline SiBS4 at its relaxed geometry.

The calculation puts the uncorrected formation energy at -0.12 eV per atom. The calculation puts the total magnetic moment at 0.0 μB/f.u.

It has space group C2/c (No. 15), with a = 12.0860 Å, b = 5.9739 Å, c = 11.0524 Å, α = 90.00°, β = 121.64° and γ = 90.00°. The asymmetric unit holds Si at (0.0000, 0.1272, 0.2500), B at (0.0000, 0.0000, 0.0000), S at (0.0806, 0.1232, 0.6637) and S at (0.1393, 0.3346, 0.4018).


no.,VASP energy (eV per formula unit)
1,-35.84
2,-29.30